A plane-wave DFT calculation with GGA-PBE was carried out for AcLaLuMg after structural relaxation.

Computed properties:
space group = F-43m
formation energy from the elements = 0.01 eV/atom

abc: 5.7591 5.7591 5.7591
angles: 60.00 60.00 60.00
Sites, in units of the cell vectors:
1 La 0.0000 0.0000 0.0000
2 Lu 0.2500 0.2500 0.2500
3 Mg 0.7500 0.7500 0.7500
4 Ac 0.5000 0.5000 0.5000



A plane-wave DFT calculation with GGA-PBE was carried out for Eu2AgSb after structural relaxation.

Computed properties:
uncorrected formation energy = -0.68 eV per atom
space group = P4/mmm

abc: 4.0719 5.3449 5.3449
angles: 90.00 90.00 90.00
Sites, in units of the cell vectors:
1 Eu 0.0000 0.5000 0.0000
2 Eu 0.0000 0.0000 0.5000
3 Sb 0.5000 0.5000 0.5000
4 Ag 0.5000 0.0000 0.0000



A plane-wave DFT calculation with GGA-PBE was carried out for Sr10Bi4O3 after structural relaxation.

Computed properties:
uncorrected formation energy = -1.48 eV per atom
space group = I4/mmm

abc: 5.0878 5.0878 20.4034
angles: 97.16 97.16 90.00
Sites, in units of the cell vectors:
1 Sr 0.0000 0.5000 0.0000
2 Sr 0.2166 0.2166 0.4331
3 Sr 0.5000 0.0000 0.0000
4 Sr 0.7834 0.7834 0.5669
5 Sr 0.8634 0.3634 0.7268
6 Sr 0.0682 0.0682 0.1364
7 Sr 0.6366 0.1366 0.2732
8 Sr 0.3634 0.8634 0.7268
9 Sr 0.9318 0.9318 0.8636
10 Sr 0.1366 0.6366 0.2732
11 Bi 0.6980 0.6980 0.3960
12 Bi 0.4328 0.4328 0.8655
13 Bi 0.5672 0.5672 0.1345
14 Bi 0.3020 0.3020 0.6040
15 O 0.0000 0.0000 0.0000
16 O 0.8705 0.8705 0.7409
17 O 0.1295 0.1295 0.2591



A plane-wave DFT calculation with GGA-PBE was carried out for Sm2Al2AgPd5 after structural relaxation.

Computed properties:
space group = P4/mbm
formation energy from the elements = -0.65 eV/atom

abc: 3.4969 10.3326 10.3326
angles: 90.00 90.00 90.00
Sites, in units of the cell vectors:
1 Sm 0.0000 0.6765 0.1765
2 Sm 0.0000 0.3235 0.8235
3 Sm 0.0000 0.1765 0.3235
4 Sm 0.0000 0.8235 0.6765
5 Al 0.0000 0.3768 0.1232
6 Al 0.0000 0.8768 0.3768
7 Al 0.0000 0.6232 0.8768
8 Al 0.0000 0.1232 0.6232
9 Pd 0.5000 0.0617 0.7917
10 Pd 0.5000 0.2917 0.5617
11 Pd 0.5000 0.0000 0.5000
12 Pd 0.5000 0.4383 0.2917
13 Pd 0.5000 0.2083 0.0617
14 Pd 0.5000 0.5000 0.0000
15 Pd 0.5000 0.7917 0.9383
16 Pd 0.5000 0.5617 0.7083
17 Pd 0.5000 0.7083 0.4383
18 Pd 0.5000 0.9383 0.2083
19 Ag 0.0000 0.0000 0.0000
20 Ag 0.0000 0.5000 0.5000



A plane-wave DFT calculation with GGA-PBE was carried out for CaCe2Ir after structural relaxation.

Computed properties:
space group = R3m
formation energy from the elements = -0.30 eV/atom

abc: 4.0791 4.0791 9.5979
angles: 77.73 77.73 60.00
Sites, in units of the cell vectors:
1 Ce 0.2786 0.2786 0.1642
2 Ce 0.0543 0.0543 0.8372
3 Ir 0.6660 0.6660 0.0021
4 Ca 0.5012 0.5012 0.4964



A plane-wave DFT calculation with GGA-PBE was carried out for LuTaB2 after structural relaxation.

Computed properties:
space group = R-3m
formation energy from the elements = -0.23 eV/atom

abc: 3.4018 3.4018 6.0583
angles: 73.69 73.69 60.00
Sites, in units of the cell vectors:
1 Lu 0.5000 0.5000 0.5000
2 B 0.2624 0.2624 0.2130
3 B 0.7376 0.7376 0.7870
4 Ta 0.0000 0.0000 0.0000



A plane-wave DFT calculation with GGA-PBE was carried out for LaMnSi2 after structural relaxation.

Computed properties:
uncorrected formation energy = 0.18 eV per atom
space group = I-4m2

abc: 4.7402 4.7402 4.7402
angles: 120.43 120.43 89.25
Sites, in units of the cell vectors:
1 La 0.5000 0.5000 0.0000
2 Si 0.2500 0.7500 0.5000
3 Si 0.0000 0.0000 0.0000
4 Mn 0.7500 0.2500 0.5000



A plane-wave DFT calculation with GGA-PBE was carried out for Ba2GeTe2 after structural relaxation.

Computed properties:
uncorrected formation energy = -1.00 eV per atom
space group = P4/mbm

abc: 8.7239 8.7239 4.8377
angles: 90.00 90.00 90.00
Sites, in units of the cell vectors:
1 Ba 0.1566 0.6566 0.5000
2 Ba 0.6566 0.8434 0.5000
3 Ba 0.3434 0.1566 0.5000
4 Ba 0.8434 0.3434 0.5000
5 Te 0.6568 0.1568 0.0000
6 Te 0.3432 0.8432 0.0000
7 Te 0.8432 0.6568 0.0000
8 Te 0.1568 0.3432 0.0000
9 Ge 0.5000 0.5000 0.0000
10 Ge 0.0000 0.0000 0.0000



Per-record DOS at the Fermi energy, states/eV/f.u.: 4.20 19.13 6.00 6.63 13.77 1.83 3.11 2.42